12
Lattice="-2.582 -1.900 -1.520 3.690 -1.740 -4.093 4.031 -14.422 11.185" Properties=species:S:1:pos:R:3 comment="Nd3Dy2Tm7, optimized geometry, DFT GGA-PBE" energy_ev_per_cell=-53.73 ef_ev_per_atom=0.0900 sg="P2/m, No. 10" e_above_lowest_polymorph_mev_per_atom=0 pbc="T T T"
Tm 0.129 -3.800 0.392
Tm 5.010 -14.262 5.180
Tm 4.591 -12.895 8.324
Tm 0.000 0.000 0.000
Tm 3.129 -3.266 -1.232
Tm 1.828 -9.163 4.209
Tm 3.310 -8.899 1.362
Dy 2.507 -6.388 -0.413
Dy 2.631 -11.674 5.985
Nd 0.554 -1.820 -2.806
Nd 2.305 -5.684 3.190
Nd 5.415 -10.478 3.901